[1]
K2ZnHg | PBE | optimized geometry

**Calculated volume**: 150 Å³/f.u.
**Fermi-level density of states**: 0.84 states/eV/atom
**Excess energy over the best structure of this formula in the dataset**: 0.086 eV per atom
**Space-group type**: Fm-3m, No. 225
**Crystal system**: cubic

Structure (POSCAR):
```
K2ZnHg
1.0
0.000 4.214 4.214
4.214 0.000 4.214
4.214 4.214 0.000
K Zn Hg
2 1 1
Direct
0.250 0.250 0.250
0.750 0.750 0.750
0.000 0.000 0.000
0.500 0.500 0.500
```

[2]
KZnHg3 | PBE | optimized geometry

**Calculated volume**: 157 Å³/f.u.
**Fermi-level density of states**: 0.46 states/eV/atom
**Excess energy over the best structure of this formula in the dataset**: 0.000 eV per atom
**Space-group type**: Pm-3m, No. 221
**Crystal system**: cubic

Structure (POSCAR):
```
KZnHg3
1.0
5.397 0.000 0.000
0.000 5.397 0.000
0.000 0.000 5.397
K Zn Hg
1 1 3
Direct
0.500 0.500 0.500
0.000 0.000 0.000
0.000 0.500 0.000
0.000 0.000 0.500
0.500 0.000 0.000
```

[3]
K3ZnHg3 | PBE | optimized geometry

**Calculated volume**: 248 Å³/f.u.
**Fermi-level density of states**: 0.45 states/eV/atom
**Space-group type**: C2/m, No. 12
**Crystal system**: monoclinic

Structure (POSCAR):
```
K3ZnHg3
1.0
4.941 0.000 0.744
2.449 6.267 0.515
0.115 -0.168 16.009
K Zn Hg
6 2 6
Direct
0.522 0.344 0.611
0.478 0.656 0.389
0.243 0.277 0.237
0.757 0.723 0.763
0.394 0.293 0.919
0.606 0.707 0.081
0.761 0.074 0.403
0.239 0.926 0.597
0.846 0.766 0.542
0.154 0.234 0.458
0.105 0.870 0.920
0.895 0.130 0.080
0.947 0.861 0.245
0.053 0.139 0.755
```

[4]
KZnHg | PBE | optimized geometry

**Calculated volume**: 89 Å³/f.u.
**Fermi-level density of states**: 0.45 states/eV/atom
**Excess energy over the best structure of this formula in the dataset**: 0.029 eV per atom
**Space-group type**: Fmm2, No. 42
**Crystal system**: orthorhombic

Structure (POSCAR):
```
KZnHg
1.0
-1.575 -2.741 5.789
-4.398 -3.618 3.322
1.238 -3.644 -0.105
Hg K Zn
1 1 1
Direct
0.040 0.040 0.960
0.334 0.334 0.666
0.627 0.627 0.373
```

The evaluated energy of formation for the records listed, in turn: -0.001; -0.111; -0.188; -0.043 eV/atom.